First-principles (PBE) data for a geometry-optimized CaAc3Hg4 structure, as listed in Alexandria.

abc: 5.636 5.636 8.012
angles: 90.00 90.00 90.00
Space group P4/mmm (No. 123)
Asymmetric unit:
Ca 0.000 0.000 0.000 x1
Ac 0.000 0.000 0.500 x1
Ac 0.500 0.500 0.000 x1
Ac 0.500 0.500 0.500 x1
Hg 0.000 0.500 0.241 x4

mass density	9.9	g/cm3
N(E_F)	5.02	states/eV/cell
E_form	-0.5094	eV/atom